1.
This record from Alexandria via LeMat-Bulk describes a relaxed ScTcSe2 crystal. The functional is PBE.

Cell and atoms, written as POSCAR:
```
ScTcSe2
1.0
0.000 3.252 3.252
3.252 0.000 3.252
3.252 3.252 0.000
Sc Tc Se
1 1 2
Direct
0.000 0.000 0.000 Sc
0.500 0.500 0.500 Tc
0.250 0.250 0.250 Se
0.750 0.750 0.750 Se
```

Properties
Excess energy over the best structure of this formula in the dataset ... 0.70 eV/f.u.
Total magnetization ... 0.980 μB/cell
Density ... 7.3 g/cm³
DFT total energy ... -6.440 eV per atom
Uncorrected formation energy ... -523 meV per atom


2.
This record from Alexandria via LeMat-Bulk describes a relaxed V2ZnHOs crystal. The functional is PBE.

Cell and atoms, written as POSCAR:
```
V2ZnHOs
1.0
3.777 0.000 0.000
0.000 3.777 0.000
0.000 0.000 3.955
V Zn H Os
2 1 1 1
Direct
0.000 0.500 0.000 V
0.500 0.000 0.000 V
0.000 0.000 0.500 Zn
0.000 0.000 0.000 H
0.500 0.500 0.500 Os
```

Properties
Excess energy over the best structure of this formula in the dataset ... 0.17 eV/f.u.
Total magnetization ... 0.000 μB/cell
Density ... 10.6 g/cm³
DFT total energy ... -6.811 eV per atom


3.
This record from Alexandria via LeMat-Bulk describes a relaxed NiSbIr3 crystal. The functional is PBE.

Cell and atoms, written as POSCAR:
```
NiSbIr3
1.0
4.512 0.000 0.000
0.000 4.512 0.000
0.000 0.000 4.512
Ni Sb Ir
1 1 3
Direct
0.000 0.000 0.000 Ni
0.500 0.500 0.500 Sb
0.000 0.000 0.500 Ir
0.000 0.500 0.000 Ir
0.500 0.000 0.000 Ir
```

Properties
Excess energy over the best structure of this formula in the dataset ... 0.00 eV/f.u.
Total magnetization ... 1.316 μB/cell
Density ... 13.7 g/cm³
DFT total energy ... -6.040 eV per atom
Uncorrected formation energy ... 1257 meV per atom


Copy entry 1 word for word.
This record from Alexandria via LeMat-Bulk describes a relaxed ScTcSe2 crystal. The functional is PBE.

Cell and atoms, written as POSCAR:
```
ScTcSe2
1.0
0.000 3.252 3.252
3.252 0.000 3.252
3.252 3.252 0.000
Sc Tc Se
1 1 2
Direct
0.000 0.000 0.000 Sc
0.500 0.500 0.500 Tc
0.250 0.250 0.250 Se
0.750 0.750 0.750 Se
```

Properties
Excess energy over the best structure of this formula in the dataset ... 0.70 eV/f.u.
Total magnetization ... 0.980 μB/cell
Density ... 7.3 g/cm³
DFT total energy ... -6.440 eV per atom
Uncorrected formation energy ... -523 meV per atom


Copy entry 3 word for word.
This record from Alexandria via LeMat-Bulk describes a relaxed NiSbIr3 crystal. The functional is PBE.

Cell and atoms, written as POSCAR:
```
NiSbIr3
1.0
4.512 0.000 0.000
0.000 4.512 0.000
0.000 0.000 4.512
Ni Sb Ir
1 1 3
Direct
0.000 0.000 0.000 Ni
0.500 0.500 0.500 Sb
0.000 0.000 0.500 Ir
0.000 0.500 0.000 Ir
0.500 0.000 0.000 Ir
```

Properties
Excess energy over the best structure of this formula in the dataset ... 0.00 eV/f.u.
Total magnetization ... 1.316 μB/cell
Density ... 13.7 g/cm³
DFT total energy ... -6.040 eV per atom
Uncorrected formation energy ... 1257 meV per atom


Q: Number 2 is which compound?
A: V2ZnHOs


Q: What is the formula in the third record?
A: NiSbIr3